CdNiB4 (PBE, relaxed); ρ = 6.117 g cm⁻³; energy relative to the lowest polymorph listed for this composition = 0.0 meV per atom; M_tot = 0.1 μB/f.u.; space group = P6/mmm (191); raw total energy = -5.199 eV/atom; crystal system = hexagonal
1.0
-0.189 -0.187 3.031
0.879 -2.419 -1.622
6.914 2.135 0.563
B Cd Ni
4 1 1
Cartesian
1.573 -0.497 1.595 B
1.930 -1.241 0.044 B
5.675 0.770 1.929 B
6.031 0.026 0.378 B
3.457 1.068 0.282 Cd
0.000 0.000 0.000 Ni

---

HgI (PBE, relaxed); ρ = 7.981 g cm⁻³; energy relative to the lowest polymorph listed for this composition = 166.8 meV per atom; space group = Fm-3m (225); raw total energy = -0.992 eV/atom; crystal system = cubic
1.0
4.009 1.276 1.821
0.217 3.698 2.702
0.733 -0.488 4.499
Hg I
1 1
Cartesian
0.000 0.000 0.000 Hg
2.480 2.243 4.511 I